A plane-wave DFT calculation with meta-GGA SCAN was carried out for a crystal of Li6Bi5O14 relaxed with PBEsol.

Calculated values
* DOS(E_F): 0.1703 states/eV per atom
* space group: Cmc2_1, No. 36

a = 8.0783 Å, b = 8.0783 Å, c = 10.5155 Å
α = 90.00°, β = 90.00°, γ = 96.02°
Last column: nearest neighbours and their distance in Å.
Fractional coordinates of all 50 atoms:
O 0.4307 0.0076 0.9029  2 Li 2.01-2.12, 2 Bi 2.18
Li 0.0016 0.9984 0.0413  4 O 1.84-1.99
Bi 0.6331 0.9942 0.7679  6 O 2.14-2.24
O 0.0890 0.1892 0.6376  2 Li 1.90-1.95
Bi 0.0619 0.2442 0.2638  6 O 2.10-2.18
Li 0.7228 0.2772 0.0732  3 O 1.82-1.99
O 0.8619 0.1381 0.1424  2 Li 1.82-1.99
Bi 0.4680 0.5320 0.7600  3 O 2.05-2.20
Bi 0.9381 0.7558 0.7638  6 O 2.10-2.18
O 0.2111 0.7889 0.3382  2 Bi 2.18
O 0.1892 0.0890 0.1376  2 Li 1.90-1.95
O 0.5348 0.8597 0.1623  1 Li 1.90, 1 Bi 2.12
O 0.7792 0.4871 0.1704  2 Li 1.99-2.01, 1 Bi 2.20
O 0.4871 0.7792 0.6704  2 Li 1.99-2.01, 1 Bi 2.20
O 0.0666 0.9334 0.8831  1 Li 1.84
O 0.7889 0.2111 0.8382  2 Bi 2.18
O 0.9924 0.5693 0.9029  2 Li 2.01-2.12, 2 Bi 2.18
Bi 0.3669 0.0058 0.2679  6 O 2.14-2.24
Li 0.2000 0.5138 0.9906  3 O 1.83-2.01
Bi 0.9942 0.6331 0.2679  6 O 2.14-2.24
Bi 0.5320 0.4680 0.2600  3 O 2.05-2.20
O 0.2208 0.5129 0.6704  2 Li 1.99-2.01, 1 Bi 2.20
O 0.9334 0.0666 0.3831  1 Li 1.84
Li 0.2772 0.7228 0.5732  3 O 1.82-1.99
O 0.1381 0.8619 0.6424  2 Li 1.82-1.99
O 0.7241 0.7899 0.8790  2 Li 2.05-2.26, 2 Bi 2.15-2.21
Li 0.9984 0.0016 0.5413  4 O 1.84-1.99
Bi 0.0058 0.3669 0.7679  6 O 2.14-2.24
O 0.4652 0.1403 0.6623  1 Li 1.90, 1 Bi 2.12
O 0.8597 0.5348 0.6623  1 Li 1.90, 1 Bi 2.12
O 0.5129 0.2208 0.1704  2 Li 1.99-2.01, 1 Bi 2.20
O 0.9110 0.8108 0.1376  2 Li 1.90-1.95
O 0.2101 0.2759 0.8790  2 Li 2.05-2.26, 2 Bi 2.15-2.21
O 0.5869 0.4131 0.4444  2 Li 1.83
Bi 0.7558 0.9381 0.2638  6 O 2.10-2.18
Li 0.5138 0.2000 0.4906  3 O 1.83-2.01
O 0.2759 0.2101 0.3790  2 Li 2.05-2.26, 2 Bi 2.15-2.21
O 0.0076 0.4307 0.4029  2 Li 2.01-2.12, 2 Bi 2.18
O 0.8108 0.9110 0.6376  2 Li 1.90-1.95
Li 0.4862 0.8000 0.9906  3 O 1.83-2.01
O 0.1403 0.4652 0.1623  1 Li 1.90, 1 Bi 2.12
Li 0.8028 0.6444 0.0222  4 O 1.95-2.12
Li 0.1972 0.3556 0.5222  4 O 1.95-2.12
Li 0.6444 0.8028 0.5222  4 O 1.95-2.12
O 0.5693 0.9924 0.4029  2 Li 2.01-2.12, 2 Bi 2.18
Li 0.3556 0.1972 0.0222  4 O 1.95-2.12
Li 0.8000 0.4862 0.4906  3 O 1.83-2.01
Bi 0.2442 0.0619 0.7638  6 O 2.10-2.18
O 0.4131 0.5869 0.9444  2 Li 1.83
O 0.7899 0.7241 0.3790  2 Li 2.05-2.26, 2 Bi 2.15-2.21

***

A plane-wave DFT calculation with meta-GGA SCAN was carried out for a crystal of Li8BiO6 relaxed with PBEsol.

Calculated values
* DOS(E_F): 0.0682 states/eV per atom
* space group: P6_3cm, No. 185

a = 5.7457 Å, b = 5.7457 Å, c = 10.7837 Å
α = 90.00°, β = 90.00°, γ = 120.00°
Last column: nearest neighbours and their distance in Å.
Fractional coordinates of all 30 atoms:
O 0.3333 0.6667 0.2867  7 Li 1.96-2.05
Li 0.6667 0.3333 0.0970  4 O 1.91-2.05
Li 0.0000 0.5844 0.8727  3 O 1.95-1.96, 1 Li 2.14
O 0.0000 0.0000 0.8106  3 Li 2.03, 1 Bi 2.15
Li 0.4156 0.4156 0.8727  3 O 1.95-1.96, 1 Li 2.14
Li 0.3217 0.0000 0.7319  4 O 1.97-2.04, 1 Li 2.14
O 0.6407 0.0000 0.0507  4 Li 1.91-1.97, 1 Bi 2.11
O 0.0000 0.3593 0.5507  4 Li 1.91-1.97, 1 Bi 2.11
Li 0.3333 0.6667 0.5970  4 O 1.91-2.05
O 0.6407 0.6407 0.5507  4 Li 1.91-1.97, 1 Bi 2.11
O 0.6667 0.3333 0.2867  7 Li 1.96-2.05
O 0.3333 0.6667 0.7867  7 Li 1.96-2.05
Li 0.4156 0.0000 0.3727  3 O 1.95-1.96, 1 Li 2.14
Li 0.3333 0.6667 0.0970  4 O 1.91-2.05
Li 0.5844 0.5844 0.3727  3 O 1.95-1.96, 1 Li 2.14
Li 0.6783 0.6783 0.7319  4 O 1.97-2.04, 1 Li 2.14
Li 0.6783 0.0000 0.2319  4 O 1.97-2.04, 1 Li 2.14
O 0.6667 0.3333 0.7867  7 Li 1.96-2.05
Bi 0.0000 0.0000 0.0104  4 O 2.11-2.15
Li 0.6667 0.3333 0.5970  4 O 1.91-2.05
Li 0.5844 0.0000 0.8727  3 O 1.95-1.96, 1 Li 2.14
Li 0.0000 0.3217 0.7319  4 O 1.97-2.04, 1 Li 2.14
O 0.3593 0.3593 0.0507  4 Li 1.91-1.97, 1 Bi 2.11
Li 0.0000 0.6783 0.2319  4 O 1.97-2.04, 1 Li 2.14
O 0.0000 0.6407 0.0507  4 Li 1.91-1.97, 1 Bi 2.11
O 0.3593 0.0000 0.5507  4 Li 1.91-1.97, 1 Bi 2.11
Li 0.3217 0.3217 0.2319  4 O 1.97-2.04, 1 Li 2.14
Bi 0.0000 0.0000 0.5104  4 O 2.11-2.15
Li 0.0000 0.4156 0.3727  3 O 1.95-1.96, 1 Li 2.14
O 0.0000 0.0000 0.3106  3 Li 2.03, 1 Bi 2.15

***

A plane-wave DFT calculation with meta-GGA SCAN was carried out for a crystal of Li5Bi4O12 relaxed with PBEsol.

Calculated values
* DOS(E_F): 0.0933 states/eV per atom
* space group: P-1, No. 2

a = 5.4183 Å, b = 10.0276 Å, c = 10.6433 Å
α = 76.23°, β = 78.08°, γ = 79.97°
Last column: nearest neighbours and their distance in Å.
Fractional coordinates of all 42 atoms:
Li 0.2116 0.2564 0.9618  4 O 1.99-2.13
Bi 0.8598 0.6112 0.5933  6 O 2.12-2.23
Bi 0.2674 0.9088 0.0208  6 O 2.12-2.18
O 0.2243 0.5547 0.4820  2 Li 2.04-2.17, 2 Bi 2.14-2.16
O 0.3550 0.0825 0.0862  2 Li 1.94-2.06, 1 Bi 2.13
Bi 0.6781 0.4266 0.8869  6 O 2.10-2.16
Li 0.7691 0.9047 0.7324  4 O 1.91-2.00
Li 0.4266 0.4128 0.6260  4 O 2.04-2.27
O 0.4275 0.7482 0.1640  1 Li 2.13, 2 Bi 2.14-2.15
Bi 0.7326 0.0912 0.9792  6 O 2.12-2.18
O 0.6450 0.9175 0.9138  2 Li 1.94-2.06, 1 Bi 2.13
O 0.8398 0.2661 0.0324  2 Li 1.99-2.20, 2 Bi 2.15-2.17
O 0.5725 0.2518 0.8360  1 Li 2.13, 2 Bi 2.14-2.15
Li 0.1671 0.6183 0.8154  4 O 1.96-2.20
O 0.1602 0.7339 0.9676  2 Li 1.99-2.20, 2 Bi 2.15-2.17
O 0.0206 0.4640 0.7580  2 Bi 2.10-2.23, 1 Li 2.12
Li 0.7825 0.8865 0.3156  4 O 1.91-2.02
Bi 0.1402 0.3888 0.4067  6 O 2.12-2.23
O 0.3729 0.2593 0.5387  2 Li 2.02-2.07, 1 Bi 2.13
O 0.0162 0.9566 0.3868  2 Li 1.91-2.00
Li 0.7884 0.7436 0.0382  4 O 1.99-2.13
O 0.2939 0.4348 0.9950  1 Li 2.04, 2 Bi 2.13-2.16
Bi 0.2777 0.8925 0.5244  6 O 2.16-2.30
O 0.9880 0.2474 0.3330  2 Li 1.99-2.04, 1 Bi 2.12
Li 0.8329 0.3817 0.1846  4 O 1.96-2.20
O 0.7061 0.5652 0.0050  1 Li 2.04, 2 Bi 2.13-2.16
Li 0.2175 0.1135 0.6844  4 O 1.91-2.02
O 0.6271 0.7407 0.4613  2 Li 2.02-2.07, 1 Bi 2.13
O 0.8904 0.9341 0.1264  1 Li 1.94, 2 Bi 2.12-2.14
O 0.7757 0.4453 0.5180  2 Li 2.04-2.17, 2 Bi 2.14-2.16
O 0.0120 0.7526 0.6670  2 Li 1.99-2.04, 1 Bi 2.12
O 0.4996 0.9679 0.6327  2 Li 1.91-2.01
Bi 0.3219 0.5734 0.1131  6 O 2.10-2.16
Bi 0.7223 0.1075 0.4756  6 O 2.16-2.30
O 0.1096 0.0659 0.8736  1 Li 1.94, 2 Bi 2.12-2.14
O 0.9838 0.0434 0.6132  2 Li 1.91-2.00
O 0.5004 0.0321 0.3673  2 Li 1.91-2.01
Li 0.5734 0.5872 0.3740  4 O 2.04-2.27
O 0.4827 0.4348 0.2679  1 Li 1.96, 2 Bi 2.12-2.16
O 0.5173 0.5652 0.7321  1 Li 1.96, 2 Bi 2.12-2.16
Li 0.2309 0.0953 0.2676  4 O 1.91-2.00
O 0.9794 0.5360 0.2420  2 Bi 2.10-2.23, 1 Li 2.12

***

A plane-wave DFT calculation with meta-GGA SCAN was carried out for a crystal of Li2BiO3 relaxed with PBEsol.

Calculated values
* DOS(E_F): 0.2123 states/eV per atom
* space group: Cmmm, No. 65

a = 3.4248 Å, b = 4.3909 Å, c = 5.3528 Å
α = 114.21°, β = 90.00°, γ = 90.00°
Last column: nearest neighbours and their distance in Å.
Fractional coordinates of all 6 atoms:
O 0.5000 0.1481 0.2962  1 Li 1.92
Li 0.5000 0.3443 0.6887  1 O 1.92
Bi 0.0000 0.0000 0.0000  6 O 2.20-2.24
O 0.5000 0.8519 0.7038  1 Li 1.92
Li 0.5000 0.6557 0.3113  1 O 1.92
O 0.0000 0.5000 0.0000  2 Bi 2.20, 4 Li 2.29

***

A plane-wave DFT calculation with meta-GGA SCAN was carried out for a crystal of Li4Bi2O5 relaxed with PBEsol.

Calculated values
* DOS(E_F): 0.0000 states/eV per atom
* space group: P-1, No. 2

a = 5.4938 Å, b = 7.5219 Å, c = 7.6829 Å
α = 89.70°, β = 70.53°, γ = 71.04°
Last column: nearest neighbours and their distance in Å.
Fractional coordinates of all 22 atoms:
O 0.0366 0.1066 0.1351  3 Li 2.01-2.12, 1 Bi 2.15
Li 0.1233 0.6704 0.6697  4 O 1.94-2.03
O 0.0288 0.5103 0.1863  3 Li 1.96-2.01, 1 Bi 2.11
Li 0.8425 0.0033 0.6514  4 O 1.93-2.04
Li 0.8767 0.3296 0.3303  4 O 1.94-2.03
O 0.9657 0.2128 0.5371  4 Li 1.93-2.00, 1 Bi 2.08
Li 0.2699 0.2541 0.5894  3 O 1.93-1.96
O 0.4358 0.1127 0.7576  3 Li 1.94-2.09, 1 Bi 2.07
O 0.9712 0.4897 0.8137  3 Li 1.96-2.01, 1 Bi 2.11
Li 0.7301 0.7459 0.4106  3 O 1.93-1.96
O 0.9634 0.8934 0.8649  3 Li 2.01-2.12, 1 Bi 2.15
O 0.5642 0.8873 0.2424  3 Li 1.94-2.09, 1 Bi 2.07
Bi 0.6679 0.4141 0.7524  3 O 2.08-2.14
O 0.5146 0.6573 0.6233  2 Li 1.93-2.03, 1 Bi 2.14
Bi 0.6507 0.1155 0.1173  2 O 2.07-2.15
Li 0.8679 0.6815 0.0301  4 O 1.96-2.12
Li 0.1321 0.3185 0.9699  4 O 1.96-2.12
Bi 0.3493 0.8845 0.8827  2 O 2.07-2.15
Li 0.1575 0.9967 0.3486  4 O 1.93-2.04
O 0.0343 0.7872 0.4629  4 Li 1.93-2.00, 1 Bi 2.08
O 0.4854 0.3427 0.3767  2 Li 1.93-2.03, 1 Bi 2.14
Bi 0.3321 0.5859 0.2476  3 O 2.08-2.14

***

A plane-wave DFT calculation with meta-GGA SCAN was carried out for a crystal of Li2BiO relaxed with PBEsol.

Calculated values
* DOS(E_F): 0.2120 states/eV per atom
* space group: Fd-3m, No. 227

a = 5.7097 Å, b = 5.7097 Å, c = 5.7097 Å
α = 60.00°, β = 60.00°, γ = 60.00°
Last column: nearest neighbours and their distance in Å.
Fractional coordinates of all 8 atoms:
Li 0.6250 0.1250 0.6250  2 O 1.75
Li 0.6250 0.6250 0.1250  2 O 1.75
Bi 0.2500 0.2500 0.2500  12 Li 3.35, 4 O 3.50, 4 Bi 3.50
O 0.7500 0.7500 0.7500  4 Li 1.75
Li 0.1250 0.6250 0.6250  2 O 1.75
O 0.5000 0.5000 0.5000  4 Li 1.75
Bi 0.0000 0.0000 0.0000  12 Li 3.35, 4 Bi 3.50, 4 O 3.50
Li 0.6250 0.6250 0.6250  2 O 1.75

***

| no. | total energy (eV/atom) | formation energy without anion corrections (eV per atom) |
| --- | --- | --- |
| 1 | -21.06 | -1.277 |
| 2 | -10.79 | -1.783 |
| 3 | -20.40 | -1.305 |
| 4 | -18.55 | -1.537 |
| 5 | -19.63 | -1.640 |
| 6 | -23.55 | -1.156 |